Entry 1:
! PrU2Ru5 (GGA-PBE, optimized geometry); values from VASP
! - DFT formation energy: -221 meV per atom
! - Final energy: -75.5 eV per formula unit
! - Magnetic moment: 0.000 μB per formula unit
&SYSTEM
  ibrav = 0, nat = 8, ntyp = 3
/
ATOMIC_SPECIES
Pr 140.91 Pr.upf
U 238.03 U.upf
Ru 101.07 Ru.upf
ATOMIC_POSITIONS angstrom
Pr 0.000 0.000 0.000
U 2.244 0.000 3.132
U 0.000 2.950 2.678
Ru 2.244 1.614 -1.374
Ru 2.244 1.614 1.374
Ru 0.000 2.950 0.000
Ru 0.000 1.336 4.435
Ru 0.000 1.336 7.184
CELL_PARAMETERS angstrom
-2.244 2.950 5.809
2.244 -2.950 5.809
2.244 2.950 -5.809

Entry 2:
! Pr3U2Ru4 (GGA-PBE, optimized geometry); values from VASP
! - DFT formation energy: -264 meV per atom
! - Final energy: -76.4 eV per formula unit
! - Magnetic moment: 0.000 μB per formula unit
&SYSTEM
  ibrav = 0, nat = 9, ntyp = 3
/
ATOMIC_SPECIES
Pr 140.91 Pr.upf
U 238.03 U.upf
Ru 101.07 Ru.upf
ATOMIC_POSITIONS angstrom
Pr 0.000 0.000 0.000
Pr 4.472 0.000 2.464
Pr 5.890 0.000 5.964
U 2.221 0.000 5.726
U 8.141 0.000 2.703
Ru 0.105 0.000 3.628
Ru 1.194 0.000 7.724
Ru 9.168 0.000 0.705
Ru 10.257 0.000 4.800
CELL_PARAMETERS angstrom
6.624 -1.906 0.000
6.624 1.906 0.000
-2.886 0.000 8.429

Entry 3:
! Pr2URu2 (GGA-PBE, optimized geometry); values from VASP
! - DFT formation energy: -285 meV per atom
! - Final energy: -40.8 eV per formula unit
! - Magnetic moment: 0.004 μB per formula unit
&SYSTEM
  ibrav = 0, nat = 10, ntyp = 3
/
ATOMIC_SPECIES
Pr 140.91 Pr.upf
U 238.03 U.upf
Ru 101.07 Ru.upf
ATOMIC_POSITIONS angstrom
Pr 1.364 0.740 1.173
Pr 0.787 -0.740 5.063
Pr 8.290 0.740 2.717
Pr 7.713 -0.740 6.607
U 4.827 0.809 1.945
U 4.250 -0.809 5.835
Ru 3.331 0.753 3.762
Ru 6.324 0.753 0.128
Ru 2.754 -0.753 7.652
Ru 5.746 -0.753 4.018
CELL_PARAMETERS angstrom
5.116 -3.091 0.000
5.116 3.091 0.000
-1.154 0.000 7.780

Entry 4:
! Pr2URu3 (GGA-PBE, optimized geometry); values from VASP
! - DFT formation energy: -162 meV per atom
! - Final energy: -49.6 eV per formula unit
! - Magnetic moment: 0.000 μB per formula unit
&SYSTEM
  ibrav = 0, nat = 6, ntyp = 3
/
ATOMIC_SPECIES
Pr 140.91 Pr.upf
U 238.03 U.upf
Ru 101.07 Ru.upf
ATOMIC_POSITIONS angstrom
Pr 0.000 0.000 0.000
Pr -1.792 0.000 3.730
U 3.010 0.000 1.676
Ru 1.270 0.000 3.219
Ru 5.262 0.000 2.127
Ru 7.344 0.000 0.301
CELL_PARAMETERS angstrom
5.073 -2.343 0.000
5.073 2.343 0.000
-4.778 0.000 5.564

Entry 5:
! PrVRu2 (GGA-PBE, optimized geometry); values from VASP
! - DFT formation energy: -48 meV per atom
! - Final energy: -32.6 eV per formula unit
! - Magnetic moment: 0.000 μB per formula unit
&SYSTEM
  ibrav = 0, nat = 4, ntyp = 3
/
ATOMIC_SPECIES
Pr 140.91 Pr.upf
V 50.94 V.upf
Ru 101.07 Ru.upf
ATOMIC_POSITIONS angstrom
Pr 0.000 0.000 0.000
V 0.000 0.000 3.620
Ru 1.555 1.555 2.221
Ru 1.555 1.555 5.019
CELL_PARAMETERS angstrom
3.111 0.000 0.000
0.000 3.111 0.000
0.000 0.000 7.240

Entry 6:
! PrRu2W (GGA-PBE, optimized geometry); values from VASP
! - DFT formation energy: 42 meV per atom
! - Final energy: -36.1 eV per formula unit
! - Magnetic moment: 0.000 μB per formula unit
&SYSTEM
  ibrav = 0, nat = 4, ntyp = 3
/
ATOMIC_SPECIES
Pr 140.91 Pr.upf
Ru 101.07 Ru.upf
W 183.84 W.upf
ATOMIC_POSITIONS angstrom
Pr 0.000 0.000 0.000
Ru 1.571 1.571 2.296
Ru 1.571 1.571 5.209
W 0.000 0.000 3.752
CELL_PARAMETERS angstrom
3.141 0.000 0.000
0.000 3.141 0.000
0.000 0.000 7.504

Entry 7:
! Pr3Y2Ru2 (GGA-PBE, optimized geometry); values from VASP
! - DFT formation energy: -208 meV per atom
! - Final energy: -47.3 eV per formula unit
! - Magnetic moment: 0.000 μB per formula unit
&SYSTEM
  ibrav = 0, nat = 7, ntyp = 3
/
ATOMIC_SPECIES
Pr 140.91 Pr.upf
Y 88.91 Y.upf
Ru 101.07 Ru.upf
ATOMIC_POSITIONS angstrom
Pr 0.000 0.000 0.000
Pr 0.008 0.023 3.432
Pr 0.003 3.434 4.552
Y -1.987 0.728 6.520
Y 1.998 2.729 1.464
Ru 0.007 -1.212 6.202
Ru 0.004 4.669 1.783
CELL_PARAMETERS angstrom
3.993 0.000 0.000
-1.995 6.139 0.000
-1.987 -2.682 7.985

Entry 8:
! PrYRu (GGA-PBE, optimized geometry); values from VASP
! - Excess energy over the best structure of this formula in the dataset: 0.000 eV per atom
! - DFT formation energy: -168 meV per atom
! - Final energy: -21.0 eV per formula unit
! - Magnetic moment: 0.000 μB per formula unit
&SYSTEM
  ibrav = 0, nat = 3, ntyp = 3
/
ATOMIC_SPECIES
Pr 140.91 Pr.upf
Y 88.91 Y.upf
Ru 101.07 Ru.upf
ATOMIC_POSITIONS angstrom
Pr 0.000 0.000 0.000
Y 3.451 3.451 3.451
Ru 5.176 5.176 5.176
CELL_PARAMETERS angstrom
0.000 3.451 3.451
3.451 0.000 3.451
3.451 3.451 0.000

Entry 9:
! PrYRu (GGA-PBE, optimized geometry); values from VASP
! - Excess energy over the best structure of this formula in the dataset: 0.011 eV per atom
! - DFT formation energy: -157 meV per atom
! - Final energy: -21.0 eV per formula unit
! - Magnetic moment: 0.000 μB per formula unit
&SYSTEM
  ibrav = 0, nat = 6, ntyp = 3
/
ATOMIC_SPECIES
Pr 140.91 Pr.upf
Y 88.91 Y.upf
Ru 101.07 Ru.upf
ATOMIC_POSITIONS angstrom
Pr 0.081 1.249 1.652
Pr 4.298 3.747 4.025
Y 1.664 1.249 4.656
Y 2.715 3.747 1.021
Ru 1.258 3.747 3.471
Ru 3.121 1.249 2.206
CELL_PARAMETERS angstrom
5.785 0.000 0.000
0.000 4.996 0.000
-1.406 0.000 5.677

Entry 10:
! Pr3YRu (GGA-PBE, optimized geometry); values from VASP
! - Excess energy over the best structure of this formula in the dataset: 0.106 eV per atom
! - DFT formation energy: 60 meV per atom
! - Final energy: -29.8 eV per formula unit
! - Magnetic moment: 0.003 μB per formula unit
&SYSTEM
  ibrav = 0, nat = 5, ntyp = 3
/
ATOMIC_SPECIES
Pr 140.91 Pr.upf
Y 88.91 Y.upf
Ru 101.07 Ru.upf
ATOMIC_POSITIONS angstrom
Pr 0.000 0.000 2.783
Pr 0.000 2.783 0.000
Pr 2.783 0.000 0.000
Y 2.783 2.783 2.783
Ru 0.000 0.000 0.000
CELL_PARAMETERS angstrom
5.567 0.000 0.000
0.000 5.567 0.000
0.000 0.000 5.567

Entry 11:
! PrYRu2 (GGA-PBE, optimized geometry); values from VASP
! - DFT formation energy: -136 meV per atom
! - Final energy: -30.3 eV per formula unit
! - Magnetic moment: 0.000 μB per formula unit
&SYSTEM
  ibrav = 0, nat = 4, ntyp = 3
/
ATOMIC_SPECIES
Pr 140.91 Pr.upf
Y 88.91 Y.upf
Ru 101.07 Ru.upf
ATOMIC_POSITIONS angstrom
Pr 0.000 0.000 0.000
Y 0.000 0.000 3.475
Ru 1.736 1.736 1.775
Ru 1.736 1.736 5.175
CELL_PARAMETERS angstrom
3.472 0.000 0.000
0.000 3.472 0.000
0.000 0.000 6.950

Entry 12:
! Pr3YRu (GGA-PBE, optimized geometry); values from VASP
! - Excess energy over the best structure of this formula in the dataset: 0.000 eV per atom
! - DFT formation energy: -46 meV per atom
! - Final energy: -30.3 eV per formula unit
! - Magnetic moment: 0.001 μB per formula unit
&SYSTEM
  ibrav = 0, nat = 10, ntyp = 3
/
ATOMIC_SPECIES
Pr 140.91 Pr.upf
Y 88.91 Y.upf
Ru 101.07 Ru.upf
ATOMIC_POSITIONS angstrom
Pr 0.000 1.041 0.000
Pr 1.953 2.104 3.234
Pr 1.967 4.536 0.012
Pr 3.920 5.599 3.222
Pr 5.873 4.536 0.012
Pr 5.886 2.104 3.234
Y 0.000 5.530 3.247
Y 3.920 1.109 0.025
Ru 0.000 3.340 1.628
Ru 3.920 3.299 4.850
CELL_PARAMETERS angstrom
7.839 0.000 0.000
0.000 6.640 0.000
0.000 0.000 6.445

Entry 13:
! PrYZnRu (GGA-PBE, optimized geometry); values from VASP
! - Excess energy over the best structure of this formula in the dataset: 0.000 eV per atom
! - DFT formation energy: -258 meV per atom
! - Final energy: -22.8 eV per formula unit
! - Magnetic moment: 0.000 μB per formula unit
&SYSTEM
  ibrav = 0, nat = 4, ntyp = 4
/
ATOMIC_SPECIES
Pr 140.91 Pr.upf
Y 88.91 Y.upf
Zn 65.41 Zn.upf
Ru 101.07 Ru.upf
ATOMIC_POSITIONS angstrom
Pr 0.000 0.000 0.000
Y 2.180 0.000 3.037
Zn 2.180 0.000 6.218
Ru 0.000 0.000 7.724
CELL_PARAMETERS angstrom
4.361 0.000 0.000
0.000 2.025 5.359
0.000 -2.025 5.359

Entry 14:
! PrYZnRu (GGA-PBE, optimized geometry); values from VASP
! - Excess energy over the best structure of this formula in the dataset: 0.004 eV per atom
! - DFT formation energy: -254 meV per atom
! - Final energy: -22.8 eV per formula unit
! - Magnetic moment: 0.000 μB per formula unit
&SYSTEM
  ibrav = 0, nat = 4, ntyp = 4
/
ATOMIC_SPECIES
Pr 140.91 Pr.upf
Y 88.91 Y.upf
Zn 65.41 Zn.upf
Ru 101.07 Ru.upf
ATOMIC_POSITIONS angstrom
Pr 0.000 0.000 0.000
Y 3.557 3.557 3.557
Zn 5.335 5.335 5.335
Ru 1.778 1.778 1.778
CELL_PARAMETERS angstrom
0.000 3.557 3.557
3.557 0.000 3.557
3.557 3.557 0.000

Entry 15:
! Pr6Zn2Ru (GGA-PBE, optimized geometry); values from VASP
! - DFT formation energy: -148 meV per atom
! - Final energy: -41.8 eV per formula unit
! - Magnetic moment: 0.000 μB per formula unit
&SYSTEM
  ibrav = 0, nat = 18, ntyp = 3
/
ATOMIC_SPECIES
Pr 140.91 Pr.upf
Zn 65.41 Zn.upf
Ru 101.07 Ru.upf
ATOMIC_POSITIONS angstrom
Pr -2.083 1.778 4.229
Pr -4.668 2.953 8.629
Pr -0.043 6.339 3.994
Pr -2.628 7.853 8.394
Pr 1.027 0.259 2.500
Pr -1.558 4.472 6.900
Pr 2.732 4.990 1.900
Pr 0.147 9.202 6.300
Pr 3.802 1.608 0.406
Pr 1.217 3.122 4.806
Pr 5.842 6.508 0.171
Pr 3.256 7.684 4.571
Zn -3.314 0.894 6.801
Zn -0.729 3.837 2.401
Zn 1.903 5.625 6.399
Zn 4.488 8.567 1.999
Ru 0.000 0.000 0.000
Ru -2.585 4.731 4.400
CELL_PARAMETERS angstrom
6.344 0.000 0.000
0.000 9.461 0.000
-5.170 0.000 8.800

Entry 16:
! PrZn4Ru (GGA-PBE, optimized geometry); values from VASP
! - Excess energy over the best structure of this formula in the dataset: 0.000 eV per atom
! - DFT formation energy: -229 meV per atom
! - Final energy: -20.5 eV per formula unit
! - Magnetic moment: 0.000 μB per formula unit
&SYSTEM
  ibrav = 0, nat = 12, ntyp = 3
/
ATOMIC_SPECIES
Pr 140.91 Pr.upf
Zn 65.41 Zn.upf
Ru 101.07 Ru.upf
ATOMIC_POSITIONS angstrom
Pr 1.985 0.000 0.781
Pr 5.956 0.000 6.173
Zn 0.000 0.000 3.477
Zn 0.434 2.026 5.560
Zn 1.985 2.026 3.245
Zn 3.537 2.026 5.560
Zn 3.970 0.000 3.477
Zn 4.404 2.026 1.394
Zn 5.956 2.026 3.710
Zn 7.507 2.026 1.394
Ru 1.985 0.000 4.981
Ru 5.956 0.000 1.973
CELL_PARAMETERS angstrom
7.941 0.000 0.000
0.000 4.052 0.000
0.000 0.000 6.955

Entry 17:
! Pr5ZnRu2 (GGA-PBE, optimized geometry); values from VASP
! - DFT formation energy: -202 meV per atom
! - Final energy: -45.3 eV per formula unit
! - Magnetic moment: 0.000 μB per formula unit
&SYSTEM
  ibrav = 0, nat = 16, ntyp = 3
/
ATOMIC_SPECIES
Pr 140.91 Pr.upf
Zn 65.41 Zn.upf
Ru 101.07 Ru.upf
ATOMIC_POSITIONS angstrom
Pr 0.000 0.000 0.000
Pr 5.293 1.294 -1.858
Pr 1.294 2.704 -1.858
Pr 5.293 1.294 1.858
Pr 1.294 2.704 1.858
Pr 0.000 0.000 6.862
Pr 2.704 1.294 5.004
Pr -1.294 2.704 5.004
Pr 2.704 1.294 8.720
Pr -1.294 2.704 8.720
Zn 0.000 0.000 3.431
Zn 0.000 0.000 10.293
Ru 2.884 1.115 0.000
Ru 2.884 -1.115 6.862
Ru 1.115 5.113 0.000
Ru 1.115 2.884 6.862
CELL_PARAMETERS angstrom
-3.999 3.999 6.862
3.999 -3.999 6.862
3.999 3.999 -6.862

Entry 18:
! PrZn10Ru2 (GGA-PBE, optimized geometry); values from VASP
! - DFT formation energy: -142 meV per atom
! - Final energy: -37.9 eV per formula unit
! - Magnetic moment: 0.000 μB per formula unit
&SYSTEM
  ibrav = 0, nat = 13, ntyp = 3
/
ATOMIC_SPECIES
Pr 140.91 Pr.upf
Zn 65.41 Zn.upf
Ru 101.07 Ru.upf
ATOMIC_POSITIONS angstrom
Pr 0.000 0.000 0.000
Zn 1.291 0.000 3.245
Zn 2.582 2.281 4.261
Zn 2.582 4.885 5.017
Zn 2.582 2.281 8.721
Zn 2.582 7.709 5.017
Zn 1.291 6.297 3.245
Zn 2.582 4.885 7.964
Zn 2.582 10.313 4.261
Zn 2.582 7.709 7.964
Zn 2.582 10.313 8.721
Ru 1.291 3.149 0.000
Ru 1.291 3.149 6.491
CELL_PARAMETERS angstrom
0.000 6.297 6.491
2.582 0.000 6.491
2.582 6.297 0.000

Entry 19:
! Pr4ZnRu2 (GGA-PBE, optimized geometry); values from VASP
! - DFT formation energy: -151 meV per atom
! - Final energy: -40.0 eV per formula unit
! - Magnetic moment: 0.000 μB per formula unit
&SYSTEM
  ibrav = 0, nat = 14, ntyp = 3
/
ATOMIC_SPECIES
Pr 140.91 Pr.upf
Zn 65.41 Zn.upf
Ru 101.07 Ru.upf
ATOMIC_POSITIONS angstrom
Pr 0.000 0.000 0.000
Pr 1.058 3.731 0.025
Pr 3.282 7.034 3.364
Pr 2.296 3.327 3.265
Pr 6.575 10.013 6.527
Pr 5.702 6.262 6.877
Pr 5.828 4.413 2.965
Pr 6.970 7.939 2.851
Zn 9.088 9.447 4.672
Zn 8.182 5.673 4.731
Ru 3.168 5.012 5.415
Ru 3.553 5.084 1.187
Ru 2.588 1.140 1.304
Ru 7.137 2.061 2.082
CELL_PARAMETERS angstrom
7.458 0.000 0.000
2.034 7.396 0.000
1.138 3.552 7.040

Entry 20:
! Pr8ZnRu2 (GGA-PBE, optimized geometry); values from VASP
! - DFT formation energy: -51 meV per atom
! - Final energy: -58.6 eV per formula unit
! - Magnetic moment: 0.000 μB per formula unit
&SYSTEM
  ibrav = 0, nat = 11, ntyp = 3
/
ATOMIC_SPECIES
Pr 140.91 Pr.upf
Zn 65.41 Zn.upf
Ru 101.07 Ru.upf
ATOMIC_POSITIONS angstrom
Pr 0.000 0.000 0.000
Pr 0.163 1.765 3.559
Pr 2.796 3.020 1.097
Pr 0.163 -1.765 3.559
Pr 3.440 1.746 4.620
Pr 2.796 -3.020 1.097
Pr 3.440 -1.746 4.620
Pr 5.630 0.000 2.286
Zn 3.145 0.000 0.260
Ru 1.845 4.079 4.179
Ru 1.845 -4.079 4.179
CELL_PARAMETERS angstrom
4.287 -6.703 0.000
4.287 6.703 0.000
-1.954 0.000 5.895

Entry 21:
! Pr2Zn7Ru (GGA-PBE, optimized geometry); values from VASP
! - DFT formation energy: -244 meV per atom
! - Final energy: -30.2 eV per formula unit
! - Magnetic moment: 0.000 μB per formula unit
&SYSTEM
  ibrav = 0, nat = 10, ntyp = 3
/
ATOMIC_SPECIES
Pr 140.91 Pr.upf
Zn 65.41 Zn.upf
Ru 101.07 Ru.upf
ATOMIC_POSITIONS angstrom
Pr 0.000 2.072 2.668
Pr 2.072 0.000 8.416
Zn 0.000 0.000 0.000
Zn 0.000 0.000 5.542
Zn 0.000 2.072 7.067
Zn 0.000 2.072 9.599
Zn 2.072 0.000 1.486
Zn 2.072 0.000 4.017
Zn 2.072 2.072 5.542
Ru 2.072 2.072 0.000
CELL_PARAMETERS angstrom
4.144 0.000 0.000
0.000 4.144 0.000
0.000 0.000 11.085

Entry 22:
! Pr6ZnRu (GGA-PBE, optimized geometry); values from VASP
! - DFT formation energy: 13 meV per atom
! - Final energy: -39.1 eV per formula unit
! - Magnetic moment: 0.000 μB per formula unit
&SYSTEM
  ibrav = 0, nat = 8, ntyp = 3
/
ATOMIC_SPECIES
Pr 140.91 Pr.upf
Zn 65.41 Zn.upf
Ru 101.07 Ru.upf
ATOMIC_POSITIONS angstrom
Pr -1.256 -2.143 8.331
Pr -2.484 0.016 11.655
Pr -1.228 2.159 8.331
Pr 1.228 -2.159 11.655
Pr 2.484 -0.016 8.331
Pr 1.256 2.143 11.655
Zn 0.000 0.000 9.993
Ru 0.000 0.000 0.000
CELL_PARAMETERS angstrom
3.469 2.003 6.662
-3.469 2.003 6.662
0.000 -4.006 6.662

Entry 23:
! Pr3Zn2Ru (GGA-PBE, optimized geometry); values from VASP
! - DFT formation energy: -263 meV per atom
! - Final energy: -27.7 eV per formula unit
! - Magnetic moment: 0.000 μB per formula unit
&SYSTEM
  ibrav = 0, nat = 24, ntyp = 3
/
ATOMIC_SPECIES
Pr 140.91 Pr.upf
Zn 65.41 Zn.upf
Ru 101.07 Ru.upf
ATOMIC_POSITIONS angstrom
Pr 0.670 1.125 1.278
Pr 1.393 3.375 6.200
Pr 2.922 1.125 8.774
Pr 3.281 3.375 3.199
Pr 4.809 1.125 0.626
Pr 5.533 3.375 6.853
Pr 6.872 1.125 4.297
Pr 7.596 3.375 10.524
Pr 9.125 1.125 7.950
Pr 9.484 3.375 2.376
Pr 11.012 1.125 4.949
Pr 11.736 3.375 9.871
Zn 0.158 3.375 3.348
Zn 2.558 3.375 11.053
Zn 3.645 1.125 5.478
Zn 6.045 1.125 8.923
Zn 6.361 3.375 2.226
Zn 8.760 3.375 5.671
Zn 9.848 1.125 0.097
Zn 12.248 1.125 7.801
Ru 1.444 1.125 4.018
Ru 4.759 3.375 9.593
Ru 7.647 1.125 1.557
Ru 10.962 3.375 7.132
CELL_PARAMETERS angstrom
12.406 0.000 0.000
0.000 4.499 0.000
0.000 0.000 11.149